A plane-wave DFT calculation with SCAN was carried out for a crystal of Dy3Ge5 relaxed with PBEsol.

The value obtained for the spin magnetization is 0.0 μB/f.u. For the total energy, the calculation gives -30.64 eV per atom. Its formation energy is -0.79 eV per atom.

Unit cell a=5.675 b=7.353 c=8.991 alpha=83.01 beta=71.60 gamma=67.30
Atoms (fractional coordinates):
1 Dy 0.005 0.991 0.500
2 Dy 0.755 0.491 0.000
3 Dy 0.430 0.505 0.663
4 Dy 0.064 0.505 0.337
5 Dy 0.651 0.005 0.163
6 Dy 0.343 0.005 0.837
7 Ge 0.554 0.893 0.500
8 Ge 0.304 0.393 0.000
9 Ge 0.097 0.298 0.630
10 Ge 0.605 0.298 0.370
11 Ge 0.225 0.798 0.130
12 Ge 0.977 0.798 0.870
13 Ge 0.830 0.665 0.674
14 Ge 0.505 0.665 0.326
15 Ge 0.082 0.165 0.174
16 Ge 0.753 0.165 0.826

=====

A plane-wave DFT calculation with SCAN was carried out for a crystal of Dy2InGe2 relaxed with PBEsol.

The value obtained for the spin magnetization is 0.0 μB/f.u. For the total energy, the calculation gives -34.23 eV per atom. Its formation energy is -0.80 eV per atom.

Unit cell a=4.140 b=7.262 c=7.262 alpha=90.00 beta=90.00 gamma=90.00
Atoms (fractional coordinates):
1 Dy 0.500 0.178 0.322
2 Dy 0.500 0.822 0.678
3 Dy 0.500 0.322 0.822
4 Dy 0.500 0.678 0.178
5 In 0.000 0.000 0.000
6 In 0.000 0.500 0.500
7 Ge 0.000 0.122 0.622
8 Ge 0.000 0.878 0.378
9 Ge 0.000 0.378 0.122
10 Ge 0.000 0.622 0.878

=====

A plane-wave DFT calculation with SCAN was carried out for a crystal of Dy4InNi2Ge4 relaxed with PBEsol.

The value obtained for the spin magnetization is 0.0 μB/f.u. For the total energy, the calculation gives -31.18 eV per atom. Its formation energy is -0.88 eV per atom.

Unit cell a=4.185 b=6.941 c=7.916 alpha=108.05 beta=105.33 gamma=90.00
Atoms (fractional coordinates):
1 Dy 0.344 0.061 0.688
2 Dy 0.656 0.939 0.312
3 Dy 0.408 0.608 0.816
4 Dy 0.592 0.392 0.184
5 In 0.000 0.000 0.000
6 Ni 0.216 0.647 0.432
7 Ni 0.784 0.353 0.568
8 Ge 0.065 0.664 0.130
9 Ge 0.935 0.336 0.870
10 Ge 0.205 0.276 0.410
11 Ge 0.795 0.724 0.590

=====

A plane-wave DFT calculation with SCAN was carried out for a crystal of Dy5Ge10Ir4 relaxed with PBEsol.

The value obtained for the spin magnetization is 0.0 μB/f.u. For the total energy, the calculation gives -38.52 eV per atom. Its formation energy is -0.93 eV per atom.

Unit cell a=4.286 b=12.859 c=12.859 alpha=90.00 beta=90.00 gamma=90.00
Atoms (fractional coordinates):
1 Dy 0.000 0.500 0.500
2 Dy 0.000 0.000 0.000
3 Dy 0.500 0.674 0.174
4 Dy 0.500 0.326 0.826
5 Dy 0.500 0.174 0.326
6 Dy 0.500 0.826 0.674
7 Dy 0.500 0.884 0.384
8 Dy 0.500 0.116 0.616
9 Dy 0.500 0.384 0.116
10 Dy 0.500 0.616 0.884
11 Ge 0.000 0.567 0.067
12 Ge 0.000 0.433 0.933
13 Ge 0.000 0.067 0.433
14 Ge 0.000 0.933 0.567
15 Ge 0.000 0.664 0.699
16 Ge 0.000 0.336 0.301
17 Ge 0.000 0.164 0.801
18 Ge 0.000 0.836 0.199
19 Ge 0.000 0.301 0.664
20 Ge 0.000 0.699 0.336
21 Ge 0.000 0.199 0.164
22 Ge 0.000 0.801 0.836
23 Ge 0.500 0.657 0.504
24 Ge 0.500 0.343 0.496
25 Ge 0.500 0.157 0.996
26 Ge 0.500 0.843 0.004
27 Ge 0.500 0.496 0.657
28 Ge 0.500 0.504 0.343
29 Ge 0.500 0.004 0.157
30 Ge 0.500 0.996 0.843
31 Ir 0.000 0.747 0.520
32 Ir 0.000 0.253 0.480
33 Ir 0.000 0.247 0.980
34 Ir 0.000 0.753 0.020
35 Ir 0.000 0.480 0.747
36 Ir 0.000 0.520 0.253
37 Ir 0.000 0.020 0.247
38 Ir 0.000 0.980 0.753

=====

A plane-wave DFT calculation with SCAN was carried out for a crystal of Dy2Ge5Ir3 relaxed with PBEsol.

The value obtained for the spin magnetization is 0.0 μB/f.u. For the total energy, the calculation gives -41.32 eV per atom. Its formation energy is -0.89 eV per atom.

Unit cell a=5.934 b=8.286 c=8.286 alpha=75.83 beta=69.02 gamma=69.02
Atoms (fractional coordinates):
1 Dy 0.366 0.859 0.410
2 Dy 0.634 0.141 0.590
3 Dy 0.866 0.410 0.859
4 Dy 0.134 0.590 0.141
5 Ge 0.750 0.500 0.500
6 Ge 0.250 0.500 0.500
7 Ge 0.528 0.222 0.222
8 Ge 0.972 0.778 0.778
9 Ge 0.472 0.778 0.778
10 Ge 0.028 0.222 0.222
11 Ge 0.098 0.065 0.740
12 Ge 0.902 0.935 0.260
13 Ge 0.598 0.740 0.065
14 Ge 0.402 0.260 0.935
15 Ir 0.750 0.000 0.000
16 Ir 0.250 0.000 0.000
17 Ir 0.143 0.246 0.469
18 Ir 0.857 0.754 0.531
19 Ir 0.643 0.469 0.246
20 Ir 0.357 0.531 0.754

=====

A plane-wave DFT calculation with SCAN was carried out for a crystal of DyGeIr relaxed with PBEsol.

The value obtained for the spin magnetization is 0.0 μB/f.u. For the total energy, the calculation gives -47.12 eV per atom. Its formation energy is -1.12 eV per atom.

Unit cell a=4.265 b=6.800 c=7.514 alpha=90.00 beta=90.00 gamma=90.00
Atoms (fractional coordinates):
1 Dy 0.250 0.503 0.809
2 Dy 0.750 0.997 0.309
3 Dy 0.250 0.003 0.691
4 Dy 0.750 0.497 0.191
5 Ge 0.750 0.209 0.890
6 Ge 0.750 0.709 0.610
7 Ge 0.250 0.791 0.110
8 Ge 0.250 0.291 0.390
9 Ir 0.750 0.340 0.566
10 Ir 0.750 0.840 0.934
11 Ir 0.250 0.160 0.066
12 Ir 0.250 0.660 0.434

=====

A plane-wave DFT calculation with SCAN was carried out for a crystal of LiDyGe relaxed with PBEsol.

The value obtained for the spin magnetization is 0.0 μB/f.u. For the total energy, the calculation gives -23.86 eV per atom. Its formation energy is -0.76 eV per atom.

Unit cell a=4.219 b=6.950 c=6.950 alpha=120.00 beta=90.00 gamma=90.00
Atoms (fractional coordinates):
1 Ge 0.500 0.333 0.667
2 Ge 0.500 0.667 0.333
3 Ge 0.000 0.000 0.000
4 Li 0.500 0.233 0.233
5 Li 0.500 0.767 0.000
6 Li 0.500 0.000 0.767
7 Dy 0.000 0.000 0.426
8 Dy 0.000 0.574 0.574
9 Dy 0.000 0.426 0.000

=====

A plane-wave DFT calculation with SCAN was carried out for a crystal of Dy2MgGe2 relaxed with PBEsol.

The value obtained for the spin magnetization is 0.0 μB/f.u. For the total energy, the calculation gives -28.60 eV per atom. Its formation energy is -0.85 eV per atom.

Unit cell a=4.176 b=7.186 c=7.186 alpha=90.00 beta=90.00 gamma=90.00
Atoms (fractional coordinates):
1 Dy 0.500 0.177 0.323
2 Dy 0.500 0.323 0.823
3 Dy 0.500 0.677 0.177
4 Dy 0.500 0.823 0.677
5 Mg 0.000 0.000 0.000
6 Mg 0.000 0.500 0.500
7 Ge 0.000 0.123 0.623
8 Ge 0.000 0.377 0.123
9 Ge 0.000 0.623 0.877
10 Ge 0.000 0.877 0.377

=====

| no. | V (A^3/atom) |
| --- | --- |
| 1 | 20.5 |
| 2 | 21.8 |
| 3 | 19.1 |
| 4 | 18.7 |
| 5 | 17.6 |
| 6 | 18.2 |
| 7 | 19.6 |
| 8 | 21.6 |